# 1
Ca2PmSm (PBE, relaxed); DFT formation energy = 0.041 eV/atom; distance to the lowest polymorph of the same formula = 0.0 meV per atom; total magnetic moment = 0.0 μB per cell; final energy = -13.3 eV/f.u.; space group = R3m
1.0
1.875 1.082 12.367
-1.875 1.082 12.367
0.000 -2.165 12.367
Ca Pm Sm
2 1 1
Direct
0.000 0.000 0.000
0.422 0.422 0.422
0.581 0.581 0.581
0.840 0.840 0.840

---

# 2
Nd2SmZn (PBE, relaxed); DFT formation energy = -0.013 eV/atom; distance to the lowest polymorph of the same formula = 133.0 meV per atom; total magnetic moment = 0.0 μB per cell; final energy = -15.6 eV/f.u.; space group = P4/mmm
1.0
5.578 0.000 0.000
0.000 5.578 0.000
0.000 0.000 3.764
Nd Sm Zn
2 1 1
Direct
0.000 0.500 0.000
0.500 0.000 0.000
0.000 0.000 0.500
0.500 0.500 0.500

---

# 3
Pr2Dy5ErTm (PBE, relaxed); DFT formation energy = 0.276 eV/atom; total magnetic moment = 0.0 μB per cell; final energy = -39.1 eV/f.u.; space group = I4/mcm
1.0
-4.271 4.271 8.012
4.271 -4.271 8.012
4.271 4.271 -8.012
Pr Dy Er Tm
4 10 2 2
Direct
0.120 0.620 0.739
0.380 0.120 0.500
0.620 0.880 0.500
0.880 0.380 0.261
0.000 0.000 0.000
0.073 0.141 0.500
0.141 0.641 0.068
0.359 0.427 0.500
0.427 0.927 0.068
0.500 0.500 0.000
0.573 0.073 0.932
0.641 0.573 0.500
0.859 0.359 0.932
0.927 0.859 0.500
0.250 0.750 0.500
0.750 0.250 0.500
0.250 0.250 0.000
0.750 0.750 0.000